Entry 1:
DFT (GGA-PBE) results for an optimized crystal structure of Li2Cd2Ni.

Cell lengths 6.836, 6.836, 3.976 Å; angles 90.00, 90.00, 90.00 degrees
Fractional coordinates of all 10 atoms:
Li  0.164  0.336  0.000
Li  0.336  0.836  0.000
Li  0.664  0.164  0.000
Li  0.836  0.664  0.000
Cd  0.149  0.649  0.500
Cd  0.351  0.149  0.500
Cd  0.649  0.851  0.500
Cd  0.851  0.351  0.500
Ni  0.000  0.000  0.500
Ni  0.500  0.500  0.500

Calculated values
- magnetic moment (μB/cell) = 0.000
- SG = P4/mbm
- final energy (eV per atom) = -2.23
- crystal system = tetragonal
- calculated formation energy (eV/atom) = 0.0581

Entry 2:
DFT (GGA-PBE) results for an optimized crystal structure of Li4CdNi.

Cell lengths 4.994, 4.994, 4.994 Å; angles 60.00, 60.00, 60.00 degrees
Fractional coordinates of all 6 atoms:
Li  0.124  0.124  0.124
Li  0.124  0.124  0.629
Li  0.124  0.629  0.124
Li  0.629  0.124  0.124
Cd  0.500  0.500  0.500
Ni  0.750  0.750  0.750

Calculated values
- magnetic moment (μB/cell) = 0.000
- SG = F-43m
- final energy (eV per atom) = -2.30
- crystal system = cubic
- calculated formation energy (eV/atom) = 0.0935

Entry 3:
DFT (GGA-PBE) results for an optimized crystal structure of Li4Cd5Ni.

Cell lengths 3.159, 3.159, 17.777 Å; angles 90.00, 90.00, 90.00 degrees
Fractional coordinates of all 10 atoms:
Li  0.000  0.000  0.102
Li  0.000  0.000  0.311
Li  0.000  0.000  0.689
Li  0.000  0.000  0.898
Cd  0.500  0.500  0.000
Cd  0.500  0.500  0.206
Cd  0.500  0.500  0.412
Cd  0.500  0.500  0.588
Cd  0.500  0.500  0.794
Ni  0.000  0.000  0.500

Calculated values
- magnetic moment (μB/cell) = 0.000
- SG = P4/mmm
- final energy (eV per atom) = -1.99
- crystal system = tetragonal
- calculated formation energy (eV/atom) = -0.1903

Entry 4:
DFT (GGA-PBE) results for an optimized crystal structure of Li3Cd4Ni2.

Cell lengths 4.498, 4.498, 8.367 Å; angles 90.00, 90.00, 60.00 degrees
Fractional coordinates of all 9 atoms:
Li  0.000  0.000  0.000
Li  0.333  0.333  0.457
Li  0.667  0.667  0.543
Cd  0.001  0.001  0.325
Cd  0.334  0.334  0.117
Cd  0.666  0.666  0.883
Cd  0.999  0.999  0.675
Ni  0.333  0.333  0.784
Ni  0.667  0.667  0.216

Calculated values
- magnetic moment (μB/cell) = 0.000
- SG = C2/m
- final energy (eV per atom) = -2.46
- crystal system = monoclinic
- calculated formation energy (eV/atom) = -0.1278